Record 1
Here is a geometry-optimized TlSiIr structure from Alexandria. Energies are from GGA-PBE.

Lattice parameters (Å, degrees): 4.3951 4.3951 4.3951 60.00 60.00 60.00
Closest atoms and distances in Å follow each position.
Positions (direct):
1 Tl 0.0000 0.0000 0.0000  4 Ir 2.69
2 Si 0.5000 0.5000 0.5000  4 Ir 2.69
3 Ir 0.7500 0.7500 0.7500  4 Si 2.69, 4 Tl 2.69

* N(E_F): 1.6 states/eV/cell
* energy above the most stable polymorph in this dataset: 239 meV/atom
* space group: F-43m, No. 216
* energy relative to the elements, uncorrected: 24.0 kJ/mol of atoms

***

Record 2
Here is a geometry-optimized CrCdMo structure from Alexandria. Energies are from GGA-PBE.

Lattice parameters (Å, degrees): 6.6932 6.6932 6.6932 155.76 155.76 34.55
Closest atoms and distances in Å follow each position.
Positions (direct):
1 Cr 0.0000 0.0000 0.0000  4 Mo 2.72, 4 Cr 2.81, 4 Cd 2.98
2 Cd 0.3267 0.3267 0.0000  4 Cd 2.81, 4 Cr 2.98, 4 Mo 3.06
3 Mo 0.6448 0.6448 0.0000  4 Cr 2.72, 4 Mo 2.81

* N(E_F): 2.0 states/eV/cell
* energy above the most stable polymorph in this dataset: 117 meV/atom
* space group: I4mm, No. 107
* ΔH_f (0 K): 48.12 kJ per mole of atoms

***

Record 3
Here is a geometry-optimized Ba2HfReTe structure from Alexandria. Energies are from GGA-PBE.

Lattice parameters (Å, degrees): 6.4217 6.4217 5.3265 90.00 90.00 90.00
Closest atoms and distances in Å follow each position.
Positions (direct):
1 Ba 0.0000 0.5000 0.0000  2 Te 3.21
2 Ba 0.5000 0.0000 0.0000  2 Te 3.21
3 Hf 0.0000 0.0000 0.5000  2 Te 2.66
4 Re 0.5000 0.5000 0.5000  8 Ba 4.17, 4 Hf 4.54
5 Te 0.0000 0.0000 0.0000  2 Hf 2.66

* N(E_F): 6.8 states/eV/cell
* space group: P4/mmm, No. 123
* energy relative to the elements, uncorrected: 115.0 kJ/mol of atoms

***

Record 4
Here is a geometry-optimized LaThSe2 structure from Alexandria. Energies are from GGA-PBE.

Lattice parameters (Å, degrees): 4.1249 4.1249 14.8458 90.00 90.00 120.00
Closest atoms and distances in Å follow each position.
Positions (direct):
1 La 0.0000 0.0000 0.0000  6 Se 3.03
2 La 0.0000 0.0000 0.5000  6 Se 3.03
3 Th 0.3333 0.6667 0.2500  6 Se 3.01
4 Th 0.6667 0.3333 0.7500  6 Se 3.01
5 Se 0.3333 0.6667 0.6262  3 Th 3.01, 3 La 3.03
6 Se 0.3333 0.6667 0.8738  3 Th 3.01, 3 La 3.03
7 Se 0.6667 0.3333 0.1262  3 Th 3.01, 3 La 3.03
8 Se 0.6667 0.3333 0.3738  3 Th 3.01, 3 La 3.03

* N(E_F): 6.1 states/eV/cell
* energy above the most stable polymorph in this dataset: 31 meV/atom
* space group: P6_3/mmc, No. 194
* energy relative to the elements, uncorrected: -167.4 kJ/mol of atoms

***

Record 5
Here is a geometry-optimized Np2AsSe structure from Alexandria. Energies are from GGA-PBE.

Lattice parameters (Å, degrees): 7.0943 7.0943 7.0943 33.79 33.79 33.79
Closest atoms and distances in Å follow each position.
Positions (direct):
1 Np 0.2488 0.2488 0.2488  3 As 2.89, 3 Se 2.92
2 Np 0.7512 0.7512 0.7512  3 As 2.89, 3 Se 2.92
3 As 0.5000 0.5000 0.5000  6 Np 2.89
4 Se 0.0000 0.0000 0.0000  6 Np 2.92

* N(E_F): 15.9 states/eV/cell
* energy above the most stable polymorph in this dataset: 0 meV/atom
* space group: R-3m, No. 166
* energy relative to the elements, uncorrected: -86.3 kJ/mol of atoms

***

Record 6
Here is a geometry-optimized Ti6AlCr structure from Alexandria. Energies are from GGA-PBE.

Lattice parameters (Å, degrees): 7.6321 7.6321 7.6321 34.61 34.61 34.61
Closest atoms and distances in Å follow each position.
Positions (direct):
1 Ti 0.1080 0.1080 0.1080  1 Cr 2.32
2 Ti 0.2362 0.2362 0.2362  8 Ti 2.63-2.93
3 Ti 0.3695 0.3695 0.3695  3 Cr 2.73, 1 Al 2.81, 10 Ti 2.87-3.05
4 Ti 0.6305 0.6305 0.6305  3 Cr 2.73, 1 Al 2.81, 10 Ti 2.87-3.05
5 Ti 0.7638 0.7638 0.7638  8 Ti 2.63-2.93
6 Ti 0.8920 0.8920 0.8920  1 Cr 2.32
7 Al 0.5000 0.5000 0.5000  14 Ti 2.81-3.02
8 Cr 0.0000 0.0000 0.0000  2 Ti 2.32

* N(E_F): 12.4 states/eV/cell
* space group: R-3m, No. 166
* ΔH_f (0 K): -5.28 kJ per mole of atoms

***

Record 7
Here is a geometry-optimized P4PbCl structure from Alexandria. Energies are from GGA-PBE.

Lattice parameters (Å, degrees): 5.8133 5.8133 5.8133 60.00 60.00 60.00
Closest atoms and distances in Å follow each position.
Positions (direct):
1 P 0.4042 0.4042 0.4042  3 P 2.23
2 P 0.4042 0.4042 0.7875  3 P 2.23
3 P 0.4042 0.7875 0.4042  3 P 2.23
4 P 0.7875 0.4042 0.4042  3 P 2.23
5 Pb 0.0000 0.0000 0.0000  12 P 3.50, 4 Cl 3.56
6 Cl 0.7500 0.7500 0.7500  12 P 3.36, 4 Pb 3.56

* N(E_F): 3.2 states/eV/cell
* space group: F-43m, No. 216
* energy relative to the elements, uncorrected: 8.2 kJ/mol of atoms

***

Record 8
Here is a geometry-optimized Cu2Ag structure from Alexandria. Energies are from GGA-PBE.

Lattice parameters (Å, degrees): 5.2942 5.2942 6.2704 104.65 104.65 30.03
Closest atoms and distances in Å follow each position.
Positions (direct):
1 Cu 0.0000 0.0000 0.0000  7 Cu 2.59-2.74, 4 Ag 2.64-2.65
2 Cu 0.0478 0.0478 0.6068  7 Cu 2.63-2.79, 5 Ag 2.70-2.86
3 Cu 0.3826 0.3826 0.2480  8 Cu 2.59-2.79, 4 Ag 2.76-2.87
4 Cu 0.7050 0.7050 0.9315  9 Cu 2.63-2.93, 3 Ag 2.63-2.70
5 Ag 0.3363 0.3363 0.6794  8 Cu 2.64-2.87, 4 Ag 2.74-2.81
6 Ag 0.6612 0.6612 0.3272  8 Cu 2.63-2.80, 4 Ag 2.74-2.81

* N(E_F): 1.8 states/eV/cell
* energy above the most stable polymorph in this dataset: 54 meV/atom
* space group: Cm, No. 8
* ΔH_f (0 K): 11.10 kJ per mole of atoms

***

Record 9
Here is a geometry-optimized Tm2IrAu2 structure from Alexandria. Energies are from GGA-PBE.

Lattice parameters (Å, degrees): 7.6223 7.6223 7.6223 132.00 68.50 134.21
Closest atoms and distances in Å follow each position.
Positions (direct):
1 Tm 0.1463 0.2482 0.3946  2 Ir 2.83, 4 Au 2.90-2.98
2 Tm 0.3537 0.7482 0.1019  2 Ir 2.83, 4 Au 2.90-2.98
3 Tm 0.6463 0.2518 0.8981  2 Ir 2.83, 4 Au 2.90-2.98
4 Tm 0.8537 0.7518 0.6054  2 Ir 2.83, 4 Au 2.90-2.98
5 Ir 0.2500 0.7500 0.5000  4 Au 2.78, 4 Tm 2.83, 2 Ir 2.97
6 Ir 0.7500 0.2500 0.5000  4 Au 2.78, 4 Tm 2.83, 2 Ir 2.97
7 Au 0.1243 0.7829 0.9072  2 Ir 2.78, 4 Tm 2.90-2.98
8 Au 0.3757 0.2829 0.6586  2 Ir 2.78, 4 Tm 2.90-2.98
9 Au 0.6243 0.7171 0.3414  2 Ir 2.78, 4 Tm 2.90-2.98
10 Au 0.8757 0.2171 0.0928  2 Ir 2.78, 4 Tm 2.90-2.98

* N(E_F): 3.6 states/eV/cell
* space group: Ibam, No. 72
* ΔH_f (0 K): -67.55 kJ per mole of atoms

***

Record 10
Here is a geometry-optimized Pr2Np3Se8 structure from Alexandria. Energies are from GGA-PBE.

Lattice parameters (Å, degrees): 8.4841 8.4841 7.1517 106.43 106.43 58.70
Closest atoms and distances in Å follow each position.
Positions (direct):
1 Pr 0.2374 0.2374 0.1646  6 Se 2.95-3.08
2 Pr 0.7626 0.7626 0.8354  6 Se 2.95-3.08
3 Np 0.2430 0.7570 0.5000  6 Se 2.82-2.90
4 Np 0.5000 0.5000 0.0000  6 Se 2.89-2.92
5 Np 0.7570 0.2430 0.5000  6 Se 2.82-2.90
6 Se 0.1147 0.1147 0.4182  2 Np 2.82, 1 Pr 2.95
7 Se 0.1414 0.6143 0.0940  2 Np 2.88-2.89, 2 Pr 3.01-3.02
8 Se 0.3861 0.3861 0.5818  3 Np 2.90-2.92, 1 Pr 3.08
9 Se 0.3857 0.8586 0.9060  2 Np 2.88-2.89, 2 Pr 3.01-3.02
10 Se 0.6143 0.1414 0.0940  2 Np 2.88-2.89, 2 Pr 3.01-3.02
11 Se 0.6139 0.6139 0.4182  3 Np 2.90-2.92, 1 Pr 3.08
12 Se 0.8586 0.3857 0.9060  2 Np 2.88-2.89, 2 Pr 3.01-3.02
13 Se 0.8853 0.8853 0.5818  2 Np 2.82, 1 Pr 2.95

* N(E_F): 26.3 states/eV/cell
* energy above the most stable polymorph in this dataset: 5 meV/atom
* space group: C2/m, No. 12
* energy relative to the elements, uncorrected: -128.7 kJ/mol of atoms

***

Record 11
Here is a geometry-optimized LaEr4Pd4 structure from Alexandria. Energies are from GGA-PBE.

Lattice parameters (Å, degrees): 9.1028 9.1028 5.7170 90.00 90.00 90.00
Closest atoms and distances in Å follow each position.
Positions (direct):
1 La 0.2500 0.2500 0.2500  4 Pd 2.94
2 La 0.7500 0.7500 0.7500  4 Pd 2.94
3 Er 0.0816 0.6523 0.1653  5 Pd 2.81-2.91
4 Er 0.1523 0.9184 0.6653  5 Pd 2.81-2.91
5 Er 0.3477 0.5816 0.6653  5 Pd 2.81-2.91
6 Er 0.4184 0.8477 0.1653  5 Pd 2.81-2.91
7 Er 0.5816 0.1523 0.8347  5 Pd 2.81-2.91
8 Er 0.6523 0.4184 0.3347  5 Pd 2.81-2.91
9 Er 0.8477 0.0816 0.3347  5 Pd 2.81-2.91
10 Er 0.9184 0.3477 0.8347  5 Pd 2.81-2.91
11 Pd 0.0409 0.6191 0.6643  5 Er 2.81-2.91, 1 La 2.94, 1 Pd 2.96
12 Pd 0.1191 0.9591 0.1643  5 Er 2.81-2.91, 1 La 2.94, 1 Pd 2.96
13 Pd 0.3809 0.5409 0.1643  5 Er 2.81-2.91, 1 La 2.94, 1 Pd 2.96
14 Pd 0.4591 0.8809 0.6643  5 Er 2.81-2.91, 1 La 2.94, 1 Pd 2.96
15 Pd 0.5409 0.1191 0.3357  5 Er 2.81-2.91, 1 La 2.94, 1 Pd 2.96
16 Pd 0.6191 0.4591 0.8357  5 Er 2.81-2.91, 1 La 2.94, 1 Pd 2.96
17 Pd 0.8809 0.0409 0.8357  5 Er 2.81-2.91, 1 La 2.94, 1 Pd 2.96
18 Pd 0.9591 0.3809 0.3357  5 Er 2.81-2.91, 1 La 2.94, 1 Pd 2.96

* N(E_F): 16.3 states/eV/cell
* space group: P4_2/n, No. 86
* ΔH_f (0 K): -67.64 kJ per mole of atoms

***

Record 12
Here is a geometry-optimized CuNi3Ge2 structure from Alexandria. Energies are from GGA-PBE.

Lattice parameters (Å, degrees): 6.9613 6.9613 6.9613 147.23 124.94 65.57
Closest atoms and distances in Å follow each position.
Positions (direct):
1 Cu 0.4301 0.1801 0.2500  2 Cu 2.56, 2 Ge 2.60, 8 Ni 2.64-2.72
2 Cu 0.5699 0.8199 0.7500  2 Cu 2.56, 2 Ge 2.60, 8 Ni 2.64-2.72
3 Ni 0.0000 0.0000 0.0000  6 Ge 2.45-2.57, 2 Cu 2.65, 4 Ni 2.74
4 Ni 0.1203 0.6612 0.4591  5 Ge 2.38-2.65, 1 Cu 2.64
5 Ni 0.2979 0.3388 0.9591  5 Ge 2.38-2.65, 1 Cu 2.64
6 Ni 0.5000 0.0000 0.5000  6 Ge 2.45-2.57, 2 Cu 2.65, 4 Ni 2.74
7 Ni 0.7021 0.6612 0.0409  5 Ge 2.38-2.65, 1 Cu 2.64
8 Ni 0.8797 0.3388 0.5409  5 Ge 2.38-2.65, 1 Cu 2.64
9 Ge 0.0921 0.8421 0.2500  8 Ni 2.38-2.51
10 Ge 0.2839 0.5339 0.7500  8 Ni 2.39-2.65, 2 Cu 2.60
11 Ge 0.7161 0.4661 0.2500  8 Ni 2.39-2.65, 2 Cu 2.60
12 Ge 0.9079 0.1579 0.7500  8 Ni 2.38-2.51

* N(E_F): 6.3 states/eV/cell
* space group: Imma, No. 74
* ΔH_f (0 K): -15.96 kJ per mole of atoms